[1]
TlRu2Pb | the Alexandria database | PBE | relaxed; energy above the most stable polymorph in this dataset = 0 meV per atom
1.0
3.0306 0.0000 0.0000
0.0000 3.0306 0.0000
0.0000 0.0000 9.0121
Tl Ru Pb
1 2 1
Direct
0.0000 0.0000 0.0000
0.0000 0.0000 0.5953
0.5000 0.5000 0.7597
0.5000 0.5000 0.3535

***

[2]
TlRuPb | the Alexandria database | PBE | relaxed; energy above the most stable polymorph in this dataset = 210 meV per atom
1.0
4.7126 0.0000 0.0000
-2.3563 4.0812 0.0000
0.0000 0.0000 3.5959
Tl Ru Pb
1 1 1
Direct
0.0000 0.0000 0.0000
0.6667 0.3333 0.6989
0.3333 0.6667 0.4980

***

[3]
TlRu2Pb | the Alexandria database | PBE | relaxed; energy above the most stable polymorph in this dataset = 320 meV per atom
1.0
3.1691 0.0000 0.0000
0.0000 4.4338 0.0000
-0.0272 0.0000 5.6768
Tl Ru Pb
1 2 1
Direct
0.0000 0.0000 0.0000
0.2029 0.5000 0.2873
0.7971 0.5000 0.7127
0.5000 0.0000 0.5000

***

[4]
TlRu2Pb | the Alexandria database | PBE | relaxed; energy above the most stable polymorph in this dataset = 163 meV per atom
1.0
4.2564 0.0000 0.0000
0.0000 1.9693 4.9739
0.0000 -1.9693 4.9739
Tl Ru Pb
1 2 1
Direct
0.0000 0.0000 0.0000
0.0000 0.2868 0.2868
0.5000 0.4090 0.4090
0.5000 0.6971 0.6971

***

[5]
TlRuPb2W | the Alexandria database | PBE | relaxed; uncorrected energy = -5.42 eV per atom
1.0
5.2972 0.0000 0.0000
0.0000 5.2972 0.0000
0.0000 0.0000 4.8826
Tl Ru Pb W
1 1 2 1
Direct
0.0000 0.0000 0.0000
0.5000 0.5000 0.5000
0.0000 0.5000 0.5000
0.5000 0.0000 0.5000
0.5000 0.5000 0.0000

***

[6]
TmRu2Pb | the Alexandria database | PBE | relaxed; uncorrected energy = -6.82 eV per atom
1.0
4.6310 0.0000 0.0000
0.0000 4.6310 0.0000
0.0000 0.0000 3.4167
Tm Ru Pb
1 2 1
Direct
0.0000 0.0000 0.0000
0.0000 0.5000 0.5000
0.5000 0.0000 0.5000
0.5000 0.5000 0.0000

***

[7]
Tm7RuPb4 | the Alexandria database | PBE | relaxed; uncorrected energy = -4.76 eV per atom
1.0
7.9743 -2.5859 0.0000
7.9743 2.5859 0.0000
-7.6005 0.0000 8.6962
Tm Ru Pb
7 1 4
Direct
0.0000 0.0000 0.0000
0.1502 0.1502 0.5609
0.2638 0.2638 0.1296
0.4515 0.4515 0.7403
0.5485 0.5485 0.2597
0.7362 0.7362 0.8704
0.8498 0.8498 0.4391
0.5000 0.5000 0.0000
0.0881 0.0881 0.7691
0.2161 0.2161 0.3519
0.7839 0.7839 0.6481
0.9119 0.9119 0.2309

***

[8]
Tm5RuPb2 | the Alexandria database | PBE | relaxed; energy above the most stable polymorph in this dataset = 445 meV per atom
1.0
2.7024 -8.1974 0.0000
2.7024 8.1974 0.0000
0.0000 0.0000 12.4294
Tm Ru Pb
10 2 4
Direct
0.0770 0.9230 0.6085
0.0770 0.9230 0.8915
0.2918 0.7082 0.2500
0.2948 0.7052 0.5712
0.2948 0.7052 0.9288
0.7052 0.2948 0.0712
0.7052 0.2948 0.4288
0.7082 0.2918 0.7500
0.9230 0.0770 0.1085
0.9230 0.0770 0.3915
0.1927 0.8073 0.7500
0.8073 0.1927 0.2500
0.1171 0.8829 0.1252
0.1171 0.8829 0.3748
0.8829 0.1171 0.6252
0.8829 0.1171 0.8748

***

[9]
Tm8RuPb5 | the Alexandria database | PBE | relaxed; uncorrected energy = -4.96 eV per atom
1.0
-4.5505 4.5505 4.6756
4.5505 -4.5505 4.6756
4.5505 4.5505 -4.6756
Tm Ru Pb
8 1 5
Direct
0.1382 0.3780 0.1020
0.1652 0.3798 0.6492
0.2760 0.0361 0.8980
0.4839 0.8348 0.2146
0.6202 0.2694 0.7854
0.6220 0.7240 0.7602
0.7306 0.5161 0.3508
0.9639 0.8618 0.2398
0.5000 0.5000 0.0000
0.2500 0.7500 0.5000
0.3729 0.2321 0.3702
0.7679 0.1382 0.1408
0.8618 0.0026 0.6298
0.9974 0.6271 0.8592

***

[10]
Tm3RuPb | the Alexandria database | PBE | relaxed; energy above the most stable polymorph in this dataset = 0 meV per atom
1.0
0.0000 4.8335 8.2493
3.2397 0.0000 8.2493
3.2397 4.8335 0.0000
Tm Ru Pb
6 2 2
Direct
0.1946 0.5661 0.4339
0.1997 0.1997 0.8003
0.4339 0.8054 0.1946
0.5661 0.1946 0.8054
0.8003 0.8003 0.1997
0.8054 0.4339 0.5661
0.2500 0.2500 0.2500
0.7500 0.7500 0.7500
0.2231 0.7769 0.7769
0.7769 0.2231 0.2231

***

[11]
Tm4Ru2Pb | the Alexandria database | PBE | relaxed; energy above the most stable polymorph in this dataset = 0 meV per atom
1.0
6.0111 0.0000 0.0000
-1.1027 7.7406 0.0000
-1.5834 -3.9034 7.1677
Tm Ru Pb
8 4 2
Direct
0.0000 0.0000 0.0000
0.0787 0.9182 0.3925
0.1895 0.4776 0.2780
0.2875 0.4058 0.6659
0.4974 0.8445 0.1291
0.5912 0.3233 0.0846
0.7023 0.1362 0.6124
0.7976 0.5534 0.5556
0.1607 0.1967 0.8293
0.3975 0.2005 0.3338
0.6112 0.7391 0.3936
0.8822 0.2016 0.3287
0.3804 0.8531 0.7188
0.9475 0.5595 0.9543

***

[12]
Tm5RuPb2 | the Alexandria database | PBE | relaxed; energy above the most stable polymorph in this dataset = 0 meV per atom
1.0
12.1962 0.0000 0.0000
0.0000 9.0505 0.0000
0.0000 0.0000 7.6983
Tm Ru Pb
20 4 8
Direct
0.0025 0.2500 0.0455
0.0705 0.5369 0.3235
0.0705 0.9631 0.3235
0.1936 0.2500 0.6157
0.2155 0.7500 0.6485
0.2845 0.2500 0.1485
0.3064 0.7500 0.1157
0.4295 0.0369 0.8235
0.4295 0.4631 0.8235
0.4975 0.7500 0.5455
0.5025 0.2500 0.4545
0.5705 0.5369 0.1765
0.5705 0.9631 0.1765
0.6936 0.2500 0.8843
0.7155 0.7500 0.8515
0.7845 0.2500 0.3515
0.8064 0.7500 0.3843
0.9295 0.0369 0.6765
0.9295 0.4631 0.6765
0.9975 0.7500 0.9545
0.0055 0.2500 0.4256
0.4945 0.7500 0.9256
0.5055 0.2500 0.0744
0.9945 0.7500 0.5744
0.1680 0.0050 0.9180
0.1680 0.4950 0.9180
0.3320 0.5050 0.4180
0.3320 0.9950 0.4180
0.6680 0.0050 0.5820
0.6680 0.4950 0.5820
0.8320 0.5050 0.0820
0.8320 0.9950 0.0820

***

Here are the calculated DOS(E_F) numbers, same order: 3.65, 1.81, 2.35, 5.29, 3.91, 2.44, 6.81, 10.80, 10.65, 6.54, 8.39, 22.08 (states/eV/cell).